(1)
Here is an optimized crystal structure of NaHF2 from the Alexandria database. Energies are from PBE.

Computed properties:
Energy above the most stable polymorph in this dataset, eV/f.u.: 5.45
M_tot, μB/f.u.: 0.00
Uncorrected energy, eV per atom: -3.014
DOS at the Fermi energy, states/eV/cell: 0.00

Lattice parameters (Å, degrees): 2.8829 2.8829 17.6658 90.00 90.00 120.00
Atoms (fractional coordinates):
1 Na 0.0000 0.0000 0.0000
2 Na 0.3333 0.6667 0.6667
3 Na 0.6667 0.3333 0.3333
4 H 0.0000 0.0000 0.5000
5 H 0.3333 0.6667 0.1667
6 H 0.6667 0.3333 0.8333
7 F 0.0000 0.0000 0.1132
8 F 0.0000 0.0000 0.8868
9 F 0.3333 0.6667 0.5535
10 F 0.3333 0.6667 0.7798
11 F 0.6667 0.3333 0.2202
12 F 0.6667 0.3333 0.4465

=====

(2)
Here is an optimized crystal structure of Na3HF2 from the Alexandria database. Energies are from PBE.

Computed properties:
M_tot, μB/f.u.: 0.00
Uncorrected energy, eV per atom: -3.727
DOS at the Fermi energy, states/eV/cell: 0.00

Lattice parameters (Å, degrees): 5.7958 5.7958 5.7979 99.64 99.64 119.95
Atoms (fractional coordinates):
1 Na 0.0000 0.5000 0.5000
2 Na 0.1614 0.3308 0.0018
3 Na 0.3308 0.1614 0.5018
4 Na 0.5000 0.0000 0.0000
5 Na 0.6692 0.8386 0.4982
6 Na 0.8386 0.6692 0.9982
7 H 0.4159 0.5841 0.7500
8 H 0.5841 0.4159 0.2500
9 F 0.0832 0.9168 0.7500
10 F 0.2496 0.7504 0.2500
11 F 0.7504 0.2496 0.7500
12 F 0.9168 0.0832 0.2500